The following is a PBE-GGA calculation of a relaxed RbNa2Sn2 crystal, from Alexandria via LeMat-Bulk.

Geometry as CIF:
```
data_RbNa2Sn2
_chemical_formula_sum 'Rb1 Na2 Sn2'
_space_group_name_H-M_alt 'P 1'
_space_group_IT_number 1
_cell_length_a 4.699
_cell_length_b 6.284
_cell_length_c 7.357
_cell_angle_alpha 99.99
_cell_angle_beta 108.63
_cell_angle_gamma 90.00
loop_
_space_group_symop_operation_xyz
'x,y,z'
loop_
_atom_site_label
_atom_site_fract_x
_atom_site_fract_y
_atom_site_fract_z
Rb1 0.000 0.000 0.000
Na1 0.334 0.419 0.668
Na2 0.666 0.581 0.332
Sn1 0.715 0.104 0.430
Sn2 0.285 0.896 0.570
```

Results
magnetization: 0.000 μB per atom
energy relative to the lowest polymorph listed for this composition: 0.00 eV/f.u.
energy of formation: -0.159 eV per atom
raw total energy: -2.4811 eV/atom
theoretical density: 3.0 g/cm³



The following is a PBE-GGA calculation of a relaxed Rb3NaSn crystal, from Alexandria via LeMat-Bulk.

Geometry as CIF:
```
data_Rb3NaSn
_chemical_formula_sum 'Rb3 Na1 Sn1'
_space_group_name_H-M_alt 'P 1'
_space_group_IT_number 1
_cell_length_a 7.223
_cell_length_b 7.223
_cell_length_c 7.223
_cell_angle_alpha 90.00
_cell_angle_beta 90.00
_cell_angle_gamma 90.00
loop_
_space_group_symop_operation_xyz
'x,y,z'
loop_
_atom_site_label
_atom_site_fract_x
_atom_site_fract_y
_atom_site_fract_z
Na1 0.500 0.500 0.500
Sn1 0.000 0.000 0.000
Rb1 0.000 0.500 0.000
Rb2 0.000 0.000 0.500
Rb3 0.500 0.000 0.000
```

Results
magnetization: 0.400 μB per atom
energy relative to the lowest polymorph listed for this composition: 0.84 eV/f.u.
energy of formation: 0.134 eV per atom
raw total energy: -1.5106 eV/atom
theoretical density: 1.8 g/cm³



Question: raw total energy of number 1 (RbNa2Sn2)?
Answer: -2.4811 eV/atom



Question: What is the magnetization in the first record?
Answer: 0.000 μB per atom